# Li2Fe3TeO8

Li2Fe3TeO8 after structural relaxation (PBE with a Hubbard U, the Alexandria database).

The calculation puts the final energy at -6.0580 eV per atom. As for the total magnetization: 14.01 μB/f.u. The theoretical density comes out at 4.5 g/cm3.

```
data_Li2Fe3TeO8
_chemical_formula_sum 'Li4 Fe6 Te2 O16'
_cell_length_a 10.5725
_cell_length_b 6.0329
_cell_length_c 6.2676
_cell_angle_alpha 90.00
_cell_angle_beta 125.73
_cell_angle_gamma 90.00
_space_group_name_H-M_alt 'C 1 2/m 1'
_space_group_IT_number 12
loop_
_space_group_symop_operation_xyz
'x,y,z'
'-x,-y,-z'
'-x,y,-z'
'x,-y,z'
'x+1/2,y+1/2,z'
'-x+1/2,-y+1/2,-z'
'-x+1/2,y+1/2,-z'
'x+1/2,-y+1/2,z'
loop_
_atom_site_label
_atom_site_type_symbol
_atom_site_fract_x
_atom_site_fract_y
_atom_site_fract_z
Li1 Li 0.1343 0.0000 0.4168
Fe1 Fe 0.0000 0.5000 0.0000
Fe2 Fe 0.2500 0.2500 0.0000
Te1 Te 0.0000 0.5000 0.5000
O1 O 0.0063 0.2746 0.7316
O2 O 0.2324 0.5000 0.7447
O3 O 0.2382 0.5000 0.1933
```